The following is a PBE+U calculation of crystalline V4CrFeO12 at its relaxed geometry, from Alexandria via LeMat-Bulk.

The space group is C2 (No. 5) and the conventional cell measures 10.468, 9.190 and 5.550 Å, with angles of 90.00, 109.96 and 90.00 degrees. The distinct sites, in fractional coordinates, are V at (0.212, 0.000, 0.041), V at (0.220, 0.211, 0.568), Cr at (0.000, 0.516, 0.500), Fe at (0.000, 0.684, 0.000), O at (0.098, 0.669, 0.379), O at (0.110, 0.523, 0.879), O at (0.132, 0.368, 0.465), O at (0.144, 0.071, 0.735), O at (0.159, 0.102, 0.247) and O at (0.167, 0.813, 0.058).

As for the total energy: -7.513 eV per atom.